# 1
meta-GGA SCAN K2AsPCO7, single point on PBEsol structure; calculated density = 2.55 g/cm³; magnetization = 0.00 Bohr magnetons per cell; formation energy (no corrections) = -1.951 eV/atom; electronic total energy = -10.365 eV/atom
1.0
6.189 0.000 0.155
0.000 6.692 0.000
-1.182 0.000 9.641
K As P C O
4 2 2 2 14
direct
0.718 0.009 0.770
0.718 0.491 0.770
0.282 0.509 0.230
0.282 0.991 0.230
0.142 0.750 0.628
0.858 0.250 0.372
0.221 0.250 0.595
0.779 0.750 0.405
0.251 0.750 0.891
0.749 0.250 0.109
0.756 0.250 0.982
0.059 0.750 0.807
0.418 0.750 0.822
0.107 0.064 0.652
0.107 0.436 0.652
0.843 0.750 0.571
0.464 0.250 0.618
0.536 0.750 0.382
0.157 0.250 0.429
0.893 0.564 0.348
0.893 0.936 0.348
0.582 0.250 0.178
0.941 0.250 0.193
0.244 0.750 0.018

---

# 2
meta-GGA SCAN CaMnPO2, single point on PBEsol structure; calculated density = 2.81 g/cm³; magnetization = 5.57 Bohr magnetons per cell; formation energy (no corrections) = -0.205 eV/atom; electronic total energy = -10.361 eV/atom
1.0
-0.145 3.964 -0.979
-1.922 -0.930 -3.483
-4.925 0.461 2.595
P Ca Mn O
1 1 1 2
direct
0.000 0.000 0.500
0.000 0.000 0.000
0.500 0.500 0.500
0.000 0.500 0.000
0.500 0.000 0.000

---

# 3
meta-GGA SCAN Mg2C, single point on PBEsol structure; calculated density = 2.12 g/cm³; magnetization = 0.00 Bohr magnetons per cell; electronic total energy = -6.375 eV/atom
1.0
-1.403 -1.891 2.042
5.372 1.097 2.328
-4.241 4.146 0.925
Mg C
4 2
direct
0.873 0.746 0.727
0.127 0.254 0.273
0.860 0.720 0.227
0.140 0.280 0.773
0.466 0.933 0.568
0.534 0.067 0.432

---

# 4
meta-GGA SCAN Rb2BaFe, single point on PBEsol structure; calculated density = 3.41 g/cm³; magnetization = 2.16 Bohr magnetons per cell; electronic total energy = -23.958 eV/atom
1.0
6.305 0.000 0.000
3.153 5.461 0.000
3.153 1.820 5.148
Ba Rb Fe
1 2 1
direct
0.500 0.500 0.500
0.250 0.250 0.250
0.750 0.750 0.750
0.000 0.000 0.000

---

# 5
meta-GGA SCAN CoOs2Se, single point on PBEsol structure; calculated density = 15.70 g/cm³; magnetization = 2.28 Bohr magnetons per cell; formation energy (no corrections) = 0.663 eV/atom; electronic total energy = -44.623 eV/atom
1.0
-1.725 1.879 -1.149
-2.390 0.677 1.288
2.443 6.777 4.009
Co Os Se
1 2 1
direct
0.000 0.000 0.000
0.252 0.252 0.244
0.748 0.748 0.756
0.500 0.500 0.500

---

# 6
meta-GGA SCAN Ga2SiI, single point on PBEsol structure; calculated density = 5.61 g/cm³; magnetization = 0.00 Bohr magnetons per cell; formation energy (no corrections) = 0.707 eV/atom; electronic total energy = -19.156 eV/atom
1.0
4.976 0.000 0.000
2.488 4.309 0.000
2.488 1.436 4.063
I Si Ga
1 1 2
direct
0.500 0.500 0.500
0.000 0.000 0.000
0.250 0.250 0.250
0.750 0.750 0.750

---

# 7
meta-GGA SCAN YMo2P, single point on PBEsol structure; calculated density = 7.29 g/cm³; magnetization = 0.00 Bohr magnetons per cell; electronic total energy = -26.950 eV/atom
1.0
-1.107 -1.488 -2.893
-1.795 -3.402 2.436
-3.772 2.467 0.666
Mo P Y
2 1 1
direct
0.645 0.000 0.765
0.355 0.000 0.235
0.500 0.500 0.000
0.000 0.500 0.500

---

# 8
meta-GGA SCAN CdTe, single point on PBEsol structure; calculated density = 5.84 g/cm³; magnetization = 0.00 Bohr magnetons per cell; formation energy (no corrections) = -0.485 eV/atom; electronic total energy = -34.318 eV/atom
1.0
-3.992 -0.483 -2.193
0.354 -1.207 4.404
-1.974 6.946 2.063
Te Cd
2 2
direct
0.667 0.333 0.625
0.333 0.667 0.125
0.667 0.333 0.000
0.333 0.667 0.500

---

# 9
meta-GGA SCAN TcSbPt2, single point on PBEsol structure; calculated density = 15.86 g/cm³; magnetization = 0.00 Bohr magnetons per cell; formation energy (no corrections) = 0.084 eV/atom; electronic total energy = -53.092 eV/atom
1.0
4.159 0.000 0.000
-2.079 4.238 -0.009
0.000 2.048 3.619
Pt Sb Tc
2 1 1
direct
0.000 0.000 0.000
0.250 0.500 0.250
0.500 0.000 0.500
0.750 0.500 0.750

---

# 10
meta-GGA SCAN TaBeCr, single point on PBEsol structure; calculated density = 10.11 g/cm³; magnetization = 0.00 Bohr magnetons per cell; electronic total energy = -29.287 eV/atom
1.0
2.688 0.000 0.000
-1.344 2.328 0.000
0.000 0.000 6.353
Cr Be Ta
1 1 1
direct
0.333 0.667 0.692
0.000 0.000 0.983
0.667 0.333 0.325

---

# 11
meta-GGA SCAN Zn2CO, single point on PBEsol structure; calculated density = 6.58 g/cm³; magnetization = 2.00 Bohr magnetons per cell; formation energy (no corrections) = 0.778 eV/atom; electronic total energy = -10.063 eV/atom
1.0
-2.753 -0.001 -2.679
0.938 -0.221 -3.719
-0.750 -3.203 -1.983
Zn C O
2 1 1
direct
0.250 0.250 0.250
0.750 0.750 0.750
0.000 0.000 0.000
0.500 0.500 0.500

---

# 12
meta-GGA SCAN BaLa2Os, single point on PBEsol structure; calculated density = 6.65 g/cm³; magnetization = 0.00 Bohr magnetons per cell; electronic total energy = -49.528 eV/atom
1.0
4.223 0.000 0.000
-2.111 3.660 -0.047
0.000 -2.289 9.804
Os Ba La
1 1 2
direct
0.000 0.000 0.500
0.500 0.000 0.000
0.715 0.430 0.646
0.285 0.570 0.354

---

# 13
meta-GGA SCAN BaAsPbSe2, single point on PBEsol structure; calculated density = 6.04 g/cm³; magnetization = 1.52 Bohr magnetons per cell; formation energy (no corrections) = -0.488 eV/atom; electronic total energy = -35.624 eV/atom
1.0
-1.620 1.481 4.804
-5.180 0.135 -1.789
-0.624 -5.261 1.411
Pb As Ba Se
1 1 1 2
direct
0.000 0.000 0.000
0.500 0.000 0.000
0.500 0.500 0.500
0.000 0.000 0.500
0.000 0.500 0.000

---

# 14
meta-GGA SCAN Mg2AlTl, single point on PBEsol structure; calculated density = 5.46 g/cm³; magnetization = 0.01 Bohr magnetons per cell; electronic total energy = -22.538 eV/atom
1.0
-2.922 1.278 0.576
-1.848 -4.754 1.178
1.786 2.069 4.465
Mg Tl Al
2 1 1
direct
0.000 0.500 0.000
0.000 0.000 0.500
0.500 0.000 0.000
0.500 0.500 0.500

---

# 15
meta-GGA SCAN MnCuIr, single point on PBEsol structure; calculated density = 14.04 g/cm³; magnetization = 2.98 Bohr magnetons per cell; electronic total energy = -34.996 eV/atom
1.0
-2.467 0.715 0.651
-1.175 -1.150 -3.190
1.198 -3.292 2.764
Cu Ir Mn
1 1 1
direct
0.999 0.999 0.998
0.670 0.670 0.340
0.331 0.331 0.663

---

# 16
meta-GGA SCAN Ta2CrIn, single point on PBEsol structure; calculated density = 13.18 g/cm³; magnetization = 0.00 Bohr magnetons per cell; electronic total energy = -45.991 eV/atom
1.0
4.115 0.000 0.000
0.000 4.115 0.000
-2.057 -2.057 3.935
Cr In Ta
1 1 2
direct
0.500 0.500 0.000
0.000 0.000 0.000
0.750 0.250 0.500
0.250 0.750 0.500

---

# 17
meta-GGA SCAN TlTc2Mo, single point on PBEsol structure; calculated density = 12.88 g/cm³; magnetization = 0.01 Bohr magnetons per cell; electronic total energy = -43.587 eV/atom
1.0
3.151 0.000 0.000
0.000 4.368 0.000
0.000 0.000 4.651
Mo Tc Tl
1 2 1
direct
0.000 0.500 0.500
0.000 0.000 0.000
0.500 0.000 0.500
0.500 0.500 0.000

---

# 18
meta-GGA SCAN Sc2ReAg, single point on PBEsol structure; calculated density = 8.81 g/cm³; magnetization = 0.00 Bohr magnetons per cell; electronic total energy = -32.279 eV/atom
1.0
2.860 0.000 0.000
1.430 2.477 0.000
1.430 0.826 10.214
Sc Re Ag
2 1 1
direct
0.915 0.915 0.256
0.085 0.085 0.744
0.000 0.000 0.000
0.500 0.500 0.500

---

# 19
meta-GGA SCAN LaTa2Zn, single point on PBEsol structure; calculated density = 11.84 g/cm³; magnetization = 0.00 Bohr magnetons per cell; electronic total energy = -47.027 eV/atom
1.0
2.978 0.000 0.000
1.489 2.579 0.000
1.489 0.860 10.336
La Ta Zn
1 2 1
direct
0.247 0.247 0.258
0.008 0.008 0.976
0.753 0.753 0.740
0.491 0.491 0.526

---

# 20
meta-GGA SCAN CrCoHg2, single point on PBEsol structure; calculated density = 13.39 g/cm³; magnetization = 5.52 Bohr magnetons per cell; electronic total energy = -42.652 eV/atom
1.0
4.479 0.000 0.000
2.239 3.879 0.000
2.239 1.293 3.657
Co Cr Hg
1 1 2
direct
0.000 0.000 0.000
0.500 0.500 0.500
0.250 0.250 0.250
0.750 0.750 0.750

---

# 21
meta-GGA SCAN ScGaSi2Ru, single point on PBEsol structure; calculated density = 4.23 g/cm³; magnetization = 1.66 Bohr magnetons per cell; formation energy (no corrections) = 1.513 eV/atom; electronic total energy = -15.576 eV/atom
1.0
-0.978 -4.220 1.885
4.567 -1.178 -0.267
0.717 1.789 4.377
Sc Ru Si Ga
1 1 2 1
direct
0.000 0.000 0.000
0.500 0.500 0.500
0.000 0.500 0.000
0.500 0.000 0.000
0.000 0.000 0.500

---

# 22
meta-GGA SCAN Mg3MnF, single point on PBEsol structure; calculated density = 2.95 g/cm³; magnetization = 3.86 Bohr magnetons per cell; formation energy (no corrections) = -0.771 eV/atom; electronic total energy = -8.114 eV/atom
1.0
-0.244 2.543 3.528
2.214 -2.968 2.293
3.743 1.922 -1.126
Mg Mn F
3 1 1
direct
0.000 0.500 0.000
0.000 0.000 0.500
0.500 0.000 0.000
0.500 0.500 0.500
0.000 0.000 0.000

---

# 23
meta-GGA SCAN ZnPtAu2, single point on PBEsol structure; calculated density = 17.44 g/cm³; magnetization = 0.00 Bohr magnetons per cell; electronic total energy = -55.710 eV/atom
1.0
-3.075 0.821 2.409
2.224 -0.969 3.169
1.638 3.782 -2.505
Zn Au Pt
1 2 1
direct
0.250 0.750 0.500
0.000 0.000 0.000
0.750 0.250 0.500
0.500 0.500 0.000

---

# 24
meta-GGA SCAN Er2Ga3Ni, single point on PBEsol structure; calculated density = 9.26 g/cm³; magnetization = 0.00 Bohr magnetons per cell; electronic total energy = -28.398 eV/atom
1.0
-4.026 -0.893 1.102
-2.285 -3.777 -3.142
-0.366 -4.281 3.464
Er Ga Ni
2 3 1
direct
0.540 0.212 0.708
0.453 0.797 0.297
0.851 0.613 0.684
0.824 0.229 0.123
0.163 0.766 0.907
0.168 0.383 0.281

---

# 25
meta-GGA SCAN LiPb2, single point on PBEsol structure; calculated density = 9.10 g/cm³; magnetization = 0.00 Bohr magnetons per cell; electronic total energy = -51.531 eV/atom
1.0
4.362 0.000 0.000
0.000 4.875 0.000
-2.181 0.000 7.232
Pb Li
4 2
direct
0.926 0.250 0.852
0.074 0.750 0.148
0.249 0.250 0.499
0.751 0.750 0.501
0.584 0.250 0.168
0.416 0.750 0.832

---

# 26
meta-GGA SCAN KTl2Cd, single point on PBEsol structure; calculated density = 7.91 g/cm³; magnetization = 0.00 Bohr magnetons per cell; electronic total energy = -45.946 eV/atom
1.0
3.395 0.000 -0.023
0.000 5.091 0.000
-1.686 0.000 6.816
Tl K Cd
2 1 1
direct
0.078 0.000 0.032
0.682 0.500 0.251
0.434 0.500 0.738
0.805 0.000 0.479